Entry from the Alexandria database: a geometry-optimized Ag5HgPd2 structure (PBE).

abc: 5.8618 11.6984 4.1053
angles: 90.00 90.00 90.00
Space group Pbam (No. 55)
One atom of each set of equivalent atoms:
Ag (0.0000, 0.0000, 0.0000) x2
Ag (0.0150, 0.2478, 0.0000) x4
Ag (0.2356, 0.8708, 0.5000) x4
Hg (0.0000, 0.5000, 0.0000) x2
Pd (0.2396, 0.6231, 0.5000) x4

Computed properties:
Energy of formation: -0.060 eV per atom

Entry from the Alexandria database: a geometry-optimized Li2TeCl structure (PBE).

abc: 3.3077 3.3715 7.4279
angles: 90.00 90.00 90.00
Space group Pmmm (No. 47)
One atom of each set of equivalent atoms:
Li (0.0000, 0.0000, 0.2153) x2
Te (0.5000, 0.5000, 0.5000) x1
Cl (0.5000, 0.5000, 0.0000) x1

Computed properties:
Energy relative to the lowest polymorph listed for this composition: 160.5 meV per atom
Uncorrected formation energy: -4.20 eV/f.u.

Entry from the Alexandria database: a geometry-optimized NdDyCCl structure (PBE).

abc: 3.6883 3.6883 21.2354
angles: 90.00 90.00 120.00
Space group R3m (No. 160, hexagonal axes)
One atom of each set of equivalent atoms:
Nd (0.0000, 0.0000, 0.0000) x3
Dy (0.0000, 0.0000, 0.7928) x3
C (0.0000, 0.0000, 0.4022) x3
Cl (0.0000, 0.0000, 0.2236) x3

Computed properties:
Uncorrected formation energy: -4.21 eV/f.u.

Entry from the Alexandria database: a geometry-optimized Mg3SbN structure (PBE).

abc: 6.6155 4.4323 6.6020
angles: 90.00 90.00 90.00
Space group Pmma (No. 51)
One atom of each set of equivalent atoms:
Mg (0.0000, 0.0000, 0.0000) x2
Mg (0.2500, 0.0000, 0.4963) x2
Mg (0.2500, 0.5000, 0.1977) x2
Sb (0.2500, 0.5000, 0.7444) x2
N (0.2500, 0.0000, 0.1919) x2

Computed properties:
Uncorrected formation energy: -1.99 eV/f.u.

Entry from the Alexandria database: a geometry-optimized Be4Ir structure (PBE).

abc: 5.7478 5.7478 2.8381
angles: 90.00 90.00 90.00
Space group I4/m (No. 87)
One atom of each set of equivalent atoms:
Be (0.1082, 0.6895, 0.0000) x8
Ir (0.0000, 0.0000, 0.5000) x2

Computed properties:
Energy of formation: -0.367 eV per atom
Energy relative to the lowest polymorph listed for this composition: 0.0 meV per atom

Entry from the Alexandria database: a geometry-optimized SmGa2Se4 structure (PBE).

abc: 7.7012 7.7012 6.4924
angles: 90.00 90.00 90.00
Space group I4/m (No. 87)
One atom of each set of equivalent atoms:
Sm (0.0000, 0.0000, 0.0000) x2
Ga (0.0000, 0.5000, 0.2500) x4
Se (0.1678, 0.3158, 0.5000) x8

Computed properties:
Uncorrected formation energy: -5.32 eV/f.u.

Taking the records one at a time from the top gives size of the total moment values of 0.00 0.00 0.00 0.00 0.00 0.00 μB per atom.
Taking the records one at a time from the top gives E values of -3.1775 -3.2547 -6.1627 -3.8444 -5.1203 -4.2903 eV/atom.
Taking the records one at a time from the top gives D(E_F) values of 0.25 0.15 0.53 0.00 0.21 0.62 states/eV/atom.